Entry 1:
First-principles (PBE) data for a relaxed Rb2Tl2Bi crystal, as listed in Alexandria via LeMat-Bulk.

Lattice parameters (Å, degrees): 8.4152 8.4152 6.0000 90.00 90.00 90.00
With the nearest neighbours (Å) after each atom.
Element x y z (fractional)
Rb (0.1862, 0.3138, 0.0000)  6 Tl 3.72-4.03
Rb (0.3138, 0.8138, 0.0000)  6 Tl 3.72-4.03
Rb (0.6862, 0.1862, 0.0000)  6 Tl 3.72-4.03
Rb (0.8138, 0.6862, 0.0000)  6 Tl 3.72-4.03
Tl (0.1292, 0.6292, 0.5000)  1 Tl 3.07, 2 Bi 3.30
Tl (0.3708, 0.1292, 0.5000)  1 Tl 3.07, 2 Bi 3.30
Tl (0.6292, 0.8708, 0.5000)  1 Tl 3.07, 2 Bi 3.30
Tl (0.8708, 0.3708, 0.5000)  1 Tl 3.07, 2 Bi 3.30
Bi (0.0000, 0.0000, 0.5000)  4 Tl 3.30
Bi (0.5000, 0.5000, 0.5000)  4 Tl 3.30

Values from the calculation:
* energy: -2.2542 eV/atom
* E_form: -144.4 meV per atom
* calculated volume: 42.489 Å³ per atom
* SG: No. 127
* spin magnetization: 0.0 Bohr magnetons per cell
* crystal system: tetragonal

---

Entry 2:
First-principles (PBE) data for a relaxed Ac3SiAg2Ge6 crystal, as listed in Alexandria via LeMat-Bulk.

Lattice parameters (Å, degrees): 6.1122 6.1122 9.2169 90.00 90.00 120.00
With the nearest neighbours (Å) after each atom.
Element x y z (fractional)
Ac (0.0000, 0.0000, 0.0000)  6 Ge 3.26, 6 Ag 3.53
Ac (0.3333, 0.6667, 0.6112)  9 Ge 3.21-3.41
Ac (0.6667, 0.3333, 0.3888)  9 Ge 3.21-3.41
Si (0.0000, 0.0000, 0.5000)  6 Ge 2.80
Ag (0.3333, 0.6667, 0.0154)  3 Ge 2.92
Ag (0.6667, 0.3333, 0.9846)  3 Ge 2.92
Ge (0.1848, 0.3696, 0.2829)  2 Ge 2.72, 1 Si 2.80, 1 Ag 2.92
Ge (0.1848, 0.8152, 0.2829)  2 Ge 2.72, 1 Si 2.80, 1 Ag 2.92
Ge (0.3696, 0.1848, 0.7171)  2 Ge 2.72, 1 Si 2.80, 1 Ag 2.92
Ge (0.6304, 0.8152, 0.2829)  2 Ge 2.72, 1 Si 2.80, 1 Ag 2.92
Ge (0.8152, 0.1848, 0.7171)  2 Ge 2.72, 1 Si 2.80, 1 Ag 2.92
Ge (0.8152, 0.6304, 0.7171)  2 Ge 2.72, 1 Si 2.80, 1 Ag 2.92

Values from the calculation:
* energy: -4.4978 eV/atom
* calculated volume: 24.850 Å³ per atom
* SG: No. 164
* spin magnetization: 0.0 Bohr magnetons per cell
* E_form (uncorrected): -23 kJ/mol of atoms
* crystal system: trigonal

---

Entry 3:
First-principles (PBE) data for a relaxed Y2ZrPaP4 crystal, as listed in Alexandria via LeMat-Bulk.

Lattice parameters (Å, degrees): 6.7775 3.9301 6.8244 90.00 109.28 90.00
With the nearest neighbours (Å) after each atom.
Element x y z (fractional)
Y (0.0000, 0.0000, 0.0000)  6 P 2.79-2.80
Y (0.5000, 0.5000, 0.0000)  6 P 2.83-2.84
Zr (0.0000, 0.5000, 0.5000)  6 P 2.71-2.72
Pa (0.5000, 0.0000, 0.5000)  6 P 2.75-2.77
P (0.2419, 0.0000, 0.7372)  2 Zr 2.72, 1 Pa 2.75, 3 Y 2.80-2.84
P (0.2466, 0.5000, 0.2576)  1 Zr 2.71, 2 Pa 2.77, 3 Y 2.79-2.83
P (0.7534, 0.5000, 0.7424)  1 Zr 2.71, 2 Pa 2.77, 3 Y 2.79-2.83
P (0.7581, 0.0000, 0.2628)  2 Zr 2.72, 1 Pa 2.75, 3 Y 2.80-2.84

Values from the calculation:
* energy: -8.0508 eV/atom
* E_form: -1474.4 meV per atom
* calculated volume: 21.448 Å³ per atom
* SG: No. 10
* spin magnetization: 0.0 Bohr magnetons per cell
* crystal system: monoclinic

---

Entry 4:
First-principles (PBE) data for a relaxed K2Cd2H4Rh crystal, as listed in Alexandria via LeMat-Bulk.

Lattice parameters (Å, degrees): 6.1257 6.1257 6.1257 114.45 114.45 99.92
With the nearest neighbours (Å) after each atom.
Element x y z (fractional)
K (0.2500, 0.7500, 0.5000)  8 H 3.13, 4 Cd 3.37
K (0.7500, 0.2500, 0.5000)  8 H 3.13, 4 Cd 3.37
Cd (0.1736, 0.1736, 0.0000)  1 Rh 2.57, 1 Cd 2.74
Cd (0.8264, 0.8264, 0.0000)  1 Rh 2.57, 1 Cd 2.74
H (0.3194, 0.3194, 0.6388)  1 Rh 1.69
H (0.3194, 0.6806, 0.0000)  1 Rh 1.69
H (0.6806, 0.3194, 0.0000)  1 Rh 1.69
H (0.6806, 0.6806, 0.3612)  1 Rh 1.69
Rh (0.5000, 0.5000, 0.0000)  4 H 1.69

Values from the calculation:
* energy: -2.8751 eV/atom
* calculated volume: 19.262 Å³ per atom
* SG: No. 139
* spin magnetization: 0.0 Bohr magnetons per cell
* crystal system: tetragonal

---

Entry 5:
First-principles (PBE) data for a relaxed MgPt2Rh crystal, as listed in Alexandria via LeMat-Bulk.

Lattice parameters (Å, degrees): 9.1052 9.1052 9.1052 17.81 17.81 17.81
With the nearest neighbours (Å) after each atom.
Element x y z (fractional)
Mg (0.0000, 0.0000, 0.0000)  6 Pt 2.72, 6 Mg 2.82
Pt (0.2522, 0.2522, 0.2522)  3 Mg 2.72, 3 Rh 2.82, 6 Pt 2.82
Pt (0.7478, 0.7478, 0.7478)  3 Mg 2.72, 3 Rh 2.82, 6 Pt 2.82
Rh (0.5000, 0.5000, 0.5000)  6 Pt 2.82, 6 Rh 2.82

Values from the calculation:
* energy: -5.5537 eV/atom
* E_form: -296.8 meV per atom
* calculated volume: 15.406 Å³ per atom
* SG: No. 166
* spin magnetization: 1.3 Bohr magnetons per cell
* crystal system: trigonal

---

Entry 6:
First-principles (PBE) data for a relaxed GaAgSn crystal, as listed in Alexandria via LeMat-Bulk.

Lattice parameters (Å, degrees): 3.4162 3.4162 6.3637 90.00 90.00 120.00
With the nearest neighbours (Å) after each atom.
Element x y z (fractional)
Ga (0.0000, 0.0000, 0.0000)  3 Ag 2.74, 3 Sn 2.99
Ag (0.6667, 0.3333, 0.2987)  3 Ga 2.74, 3 Sn 2.97
Sn (0.3333, 0.6667, 0.6474)  3 Ag 2.97, 3 Ga 2.99

Values from the calculation:
* energy: -3.2400 eV/atom
* E_form: 53.7 meV per atom
* calculated volume: 21.439 Å³ per atom
* SG: No. 156
* spin magnetization: 0.0 Bohr magnetons per cell
* crystal system: trigonal

---

Entry 7:
First-principles (PBE) data for a relaxed KRe2Si crystal, as listed in Alexandria via LeMat-Bulk.

Lattice parameters (Å, degrees): 3.0257 3.0257 8.7468 90.00 90.00 90.00
With the nearest neighbours (Å) after each atom.
Element x y z (fractional)
K (0.0000, 0.0000, 0.0000)  4 K 3.03, 4 Si 3.37
Re (0.0000, 0.0000, 0.5120)  4 Re 2.56, 4 Si 2.71
Re (0.5000, 0.5000, 0.3506)  4 Re 2.56
Si (0.5000, 0.5000, 0.7027)  4 Re 2.71, 4 Si 3.03

Values from the calculation:
* energy: -7.3562 eV/atom
* calculated volume: 20.019 Å³ per atom
* SG: No. 99
* spin magnetization: 0.0 Bohr magnetons per cell
* E_form (uncorrected): 48 kJ/mol of atoms
* crystal system: tetragonal

---

Entry 8:
First-principles (PBE) data for a relaxed MnRe3H crystal, as listed in Alexandria via LeMat-Bulk.

Lattice parameters (Å, degrees): 4.4145 4.4145 4.4145 90.00 90.00 90.00
With the nearest neighbours (Å) after each atom.
Element x y z (fractional)
Mn (0.0000, 0.0000, 0.0000)  6 Re 2.21
Re (0.0000, 0.0000, 0.5000)  2 Mn 2.21
Re (0.0000, 0.5000, 0.0000)  2 Mn 2.21
Re (0.5000, 0.0000, 0.0000)  2 Mn 2.21
H (0.5000, 0.5000, 0.5000)  12 Re 3.12

Values from the calculation:
* energy: -7.6591 eV/atom
* calculated volume: 17.206 Å³ per atom
* SG: No. 221
* spin magnetization: 0.0 Bohr magnetons per cell
* crystal system: cubic